# 1
Compound: La4Pm2SmTh
Source: Alexandria via LeMat-Bulk
Functional: PBE-GGA
Structure: relaxed

abc: 3.669 6.373 12.188
angles: 80.19 90.00 90.00
Positions (direct):
La1 0.500 0.742 0.255
La2 0.000 0.747 0.748
Pm1 0.500 0.000 0.500
La3 0.000 0.253 0.252
Pm2 0.000 0.000 0.000
La4 0.500 0.258 0.745
Sm1 0.500 0.500 0.000
Th1 0.000 0.500 0.500

Computed properties:
Theoretical density = 7.26 g cm⁻³
VASP energy = -5.14 eV per atom
Space group = P2/m, No. 10
Formation energy from the elements = 0.03 eV per atom

=====

# 2
Compound: NaSrTi2Pb
Source: Alexandria via LeMat-Bulk
Functional: PBE-GGA
Structure: relaxed

abc: 5.257 5.580 5.257
angles: 90.00 90.00 90.00
Positions (direct):
Ti1 0.000 0.000 0.500
Ti2 0.500 0.000 0.000
Na1 0.000 0.000 0.000
Sr1 0.000 0.500 0.000
Pb1 0.500 0.500 0.500

Computed properties:
Theoretical density = 4.45 g cm⁻³
VASP energy = -3.34 eV per atom
Space group = P4/mmm, No. 123
Formation energy from the elements = 1.16 eV per atom

=====

# 3
Compound: YTcOsI2
Source: Alexandria via LeMat-Bulk
Functional: PBE-GGA
Structure: relaxed

abc: 5.883 5.395 5.883
angles: 90.00 90.00 90.00
Positions (direct):
Os1 0.500 0.500 0.500
I1 0.000 0.000 0.500
I2 0.500 0.000 0.000
Tc1 0.000 0.500 0.000
Y1 0.000 0.000 0.000

Computed properties:
Theoretical density = 5.61 g cm⁻³
VASP energy = -4.41 eV per atom
Uncorrected formation energy = 1824 meV/atom
Space group = P4/mmm, No. 123

=====

# 4
Compound: Na6SnBi2
Source: Alexandria via LeMat-Bulk
Functional: PBE-GGA
Structure: relaxed

abc: 3.437 9.190 9.190
angles: 60.19 89.98 89.98
Positions (direct):
Na1 0.498 0.665 0.000
Sn1 0.000 0.000 0.000
Na2 0.500 0.665 0.335
Na3 0.498 0.000 0.665
Bi1 0.000 0.667 0.667
Na4 0.502 0.335 0.000
Bi2 0.000 0.333 0.333
Na5 0.500 0.335 0.665
Na6 0.502 0.000 0.335

Computed properties:
Theoretical density = 4.45 g cm⁻³
VASP energy = -2.44 eV per atom
Space group = C2/m, No. 12
Formation energy from the elements = -0.25 eV per atom

=====

# 5
Compound: Pu2ScZn2Ge2
Source: Alexandria via LeMat-Bulk
Functional: PBE-GGA
Structure: relaxed

abc: 4.049 4.049 8.981
angles: 76.97 76.97 60.00
Positions (direct):
Zn1 0.590 0.590 0.230
Sc1 0.000 0.000 0.000
Pu1 0.151 0.151 0.547
Ge1 0.269 0.269 0.194
Ge2 0.731 0.731 0.806
Zn2 0.410 0.410 0.770
Pu2 0.849 0.849 0.453

Computed properties:
Theoretical density = 10.91 g cm⁻³
VASP energy = -6.85 eV per atom
Space group = R-3m, No. 166
Formation energy from the elements = -0.17 eV per atom

=====

# 6
Compound: Ga2Sn2Br
Source: Alexandria via LeMat-Bulk
Functional: PBE-GGA
Structure: relaxed

abc: 4.079 4.079 8.162
angles: 75.53 75.53 90.00
Positions (direct):
Ga1 0.250 0.750 0.500
Br1 0.000 0.000 0.000
Sn1 0.608 0.608 0.784
Ga2 0.750 0.250 0.500
Sn2 0.392 0.392 0.216

Computed properties:
Theoretical density = 5.97 g cm⁻³
VASP energy = -3.19 eV per atom
Uncorrected formation energy = -46 meV/atom
Space group = I4/mmm, No. 139
Excess energy over the best structure of this formula in the dataset = 0.0 meV per atom

=====

# 7
Compound: Rb2InGeBr5
Source: Alexandria via LeMat-Bulk
Functional: PBE-GGA
Structure: relaxed

abc: 4.429 10.119 16.012
angles: 90.00 90.00 102.64
Positions (direct):
Br1 0.750 0.499 0.153
Ge1 0.766 0.533 0.534
Br2 0.504 0.009 0.266
Br3 0.709 0.418 0.919
Br4 0.250 0.501 0.653
Br5 0.291 0.582 0.419
Rb1 0.861 0.723 0.796
Br6 0.904 0.808 0.578
Br7 0.629 0.259 0.485
Rb2 0.922 0.845 0.143
Ge2 0.234 0.467 0.034
Rb3 0.139 0.277 0.296
Rb4 0.078 0.155 0.643
Br8 0.496 0.991 0.766
In1 0.548 0.096 0.949
Br9 0.371 0.741 0.985
In2 0.452 0.904 0.449
Br10 0.096 0.192 0.078

Computed properties:
Theoretical density = 3.59 g cm⁻³
VASP energy = -3.04 eV per atom
Uncorrected formation energy = -1079 meV/atom
Space group = Cmc2_1, No. 36

=====

# 8
Compound: BaAcPtF
Source: Alexandria via LeMat-Bulk
Functional: PBE-GGA
Structure: relaxed

abc: 5.398 5.398 8.267
angles: 90.00 90.00 90.00
Positions (direct):
Ba1 0.000 0.500 0.434
Ac1 0.500 0.500 0.000
Ba2 0.500 0.000 0.566
Ac2 0.000 0.000 0.000
Pt1 0.500 0.000 0.167
F1 0.500 0.500 0.500
F2 0.000 0.000 0.500
Pt2 0.000 0.500 0.833

Computed properties:
Theoretical density = 7.98 g cm⁻³
VASP energy = -5.31 eV per atom
Uncorrected formation energy = -1829 meV/atom
Space group = P4/nmm, No. 129

=====

# 9
Compound: DyThRuRh
Source: Alexandria via LeMat-Bulk
Functional: PBE-GGA
Structure: relaxed

abc: 4.942 4.942 4.942
angles: 60.00 60.00 60.00
Positions (direct):
Th1 0.500 0.500 0.500
Ru1 0.750 0.750 0.750
Rh1 0.250 0.250 0.250
Dy1 0.000 0.000 0.000

Computed properties:
Theoretical density = 11.65 g cm⁻³
VASP energy = -7.78 eV per atom
Space group = F-43m, No. 216
Formation energy from the elements = -0.62 eV per atom

=====

# 10
Compound: CaMg2In5
Source: Alexandria via LeMat-Bulk
Functional: PBE-GGA
Structure: relaxed

abc: 4.727 4.727 9.566
angles: 104.31 104.31 90.00
Positions (direct):
Mg1 0.753 0.753 0.505
Ca1 0.000 0.000 0.000
In1 0.867 0.367 0.734
In2 0.633 0.133 0.266
In3 0.367 0.867 0.734
In4 0.133 0.633 0.266
In5 0.500 0.500 0.000
Mg2 0.247 0.247 0.495

Computed properties:
Theoretical density = 5.49 g cm⁻³
VASP energy = -2.57 eV per atom
Space group = I4/mmm, No. 139
Formation energy from the elements = -0.21 eV per atom

=====

# 11
Compound: KTe2Au
Source: Alexandria via LeMat-Bulk
Functional: PBE-GGA
Structure: relaxed

abc: 3.904 3.904 7.708
angles: 90.00 90.00 90.00
Positions (direct):
Te1 0.000 0.000 0.447
Au1 0.500 0.500 0.250
Te2 0.000 0.000 0.053
K1 0.500 0.500 0.750

Computed properties:
Theoretical density = 6.94 g cm⁻³
VASP energy = -2.72 eV per atom
Uncorrected formation energy = -55 meV/atom
Space group = P4/mmm, No. 123

=====

# 12
Compound: Ac4GeBi2I
Source: Alexandria via LeMat-Bulk
Functional: PBE-GGA
Structure: relaxed

abc: 4.797 8.246 8.321
angles: 70.73 90.00 90.00
Positions (direct):
Ac1 0.000 0.250 0.271
Ac2 0.500 0.738 0.270
I1 0.500 0.500 0.000
Bi1 0.000 0.000 0.000
Ge1 0.000 0.500 0.500
Ac3 0.500 0.262 0.730
Bi2 0.500 0.000 0.500
Ac4 0.000 0.750 0.729

Computed properties:
Theoretical density = 8.15 g cm⁻³
VASP energy = -4.76 eV per atom
Uncorrected formation energy = -962 meV/atom
Space group = P2/m, No. 10

=====

# 13
Compound: TiFePdAu
Source: Alexandria via LeMat-Bulk
Functional: PBE-GGA
Structure: relaxed

abc: 4.426 4.426 4.426
angles: 60.00 60.00 60.00
Positions (direct):
Fe1 0.750 0.750 0.750
Au1 0.000 0.000 0.000
Pd1 0.250 0.250 0.250
Ti1 0.500 0.500 0.500

Computed properties:
Theoretical density = 11.03 g cm⁻³
VASP energy = -6.40 eV per atom
Space group = F-43m, No. 216
Formation energy from the elements = -0.19 eV per atom

=====

# 14
Compound: DyHoTmPu
Source: Alexandria via LeMat-Bulk
Functional: PBE-GGA
Structure: relaxed

abc: 5.546 5.546 5.546
angles: 60.00 60.00 60.00
Positions (direct):
Tm1 0.250 0.250 0.250
Ho1 0.750 0.750 0.750
Pu1 0.500 0.500 0.500
Dy1 0.000 0.000 0.000

Computed properties:
Theoretical density = 10.19 g cm⁻³
VASP energy = -6.81 eV per atom
Space group = F-43m, No. 216
Formation energy from the elements = 0.19 eV per atom

=====

# 15
Compound: Ca2Cu
Source: Alexandria via LeMat-Bulk
Functional: PBE-GGA
Structure: relaxed

abc: 7.193 7.193 7.193
angles: 90.00 90.00 90.00
Positions (direct):
Ca1 0.341 0.341 0.341
Ca2 0.841 0.341 0.159
Ca3 0.159 0.841 0.341
Cu1 0.500 0.000 0.500
Cu2 0.000 0.500 0.500
Ca4 0.659 0.659 0.659
Ca5 0.341 0.159 0.841
Ca6 0.159 0.659 0.841
Ca7 0.659 0.841 0.159
Cu3 0.000 0.000 0.000
Cu4 0.500 0.500 0.000
Ca8 0.841 0.159 0.659

Computed properties:
Theoretical density = 2.56 g cm⁻³
VASP energy = -2.71 eV per atom
Space group = Pa-3, No. 205
Formation energy from the elements = -0.01 eV per atom

=====

# 16
Compound: CeNdSm4Se8
Source: Alexandria via LeMat-Bulk
Functional: PBE-GGA
Structure: relaxed

abc: 8.627 8.627 8.656
angles: 60.11 60.11 60.00
Positions (direct):
Se1 0.229 0.755 0.261
Sm1 0.000 0.501 0.499
Se2 0.775 0.244 0.738
Sm2 0.625 0.625 0.125
Se3 0.757 0.757 0.728
Nd1 0.375 0.375 0.875
Se4 0.244 0.775 0.738
Sm3 0.000 0.000 0.499
Se5 0.244 0.244 0.738
Se6 0.755 0.755 0.261
Se7 0.755 0.229 0.261
Ce1 0.000 0.000 0.001
Se8 0.241 0.241 0.276
Sm4 0.501 0.000 0.499

Computed properties:
Theoretical density = 5.52 g cm⁻³
VASP energy = -5.82 eV per atom
Uncorrected formation energy = -1715 meV/atom
Space group = R3m, No. 160

=====

# 17
Compound: La2PmTm4Th
Source: Alexandria via LeMat-Bulk
Functional: PBE-GGA
Structure: relaxed

abc: 5.153 5.154 11.064
angles: 62.29 90.00 90.00
Positions (direct):
Tm1 0.500 0.745 0.255
Pm1 0.500 0.500 0.000
Tm2 0.500 0.255 0.745
Th1 0.000 0.500 0.500
La1 0.500 0.000 0.500
Tm3 0.000 0.755 0.745
Tm4 0.000 0.245 0.255
La2 0.000 0.000 0.000

Computed properties:
Theoretical density = 8.49 g cm⁻³
VASP energy = -4.96 eV per atom
Space group = P2/m, No. 10
Formation energy from the elements = 0.03 eV per atom

=====

# 18
Compound: TeOs2Cl
Source: Alexandria via LeMat-Bulk
Functional: PBE-GGA
Structure: relaxed

abc: 4.616 4.616 4.616
angles: 60.00 60.00 60.00
Positions (direct):
Os1 0.000 0.000 0.000
Te1 0.750 0.750 0.750
Os2 0.250 0.250 0.250
Cl1 0.500 0.500 0.500

Computed properties:
Theoretical density = 12.98 g cm⁻³
VASP energy = -5.62 eV per atom
Uncorrected formation energy = 1245 meV/atom
Space group = F-43m, No. 216
Excess energy over the best structure of this formula in the dataset = 1024.1 meV per atom

=====

# 19
Compound: Na5Sb2Pt
Source: Alexandria via LeMat-Bulk
Functional: PBE-GGA
Structure: relaxed

abc: 5.235 5.235 19.162
angles: 90.00 90.00 120.00
Positions (direct):
Na1 0.333 0.667 0.948
Na2 0.000 0.000 0.838
Na3 0.333 0.667 0.750
Na4 0.667 0.333 0.250
Na5 0.000 0.000 0.662
Na6 0.333 0.667 0.552
Pt1 0.333 0.667 0.250
Sb1 0.333 0.667 0.116
Na7 0.667 0.333 0.052
Sb2 0.333 0.667 0.384
Na8 0.000 0.000 0.338
Sb3 0.667 0.333 0.884
Na9 0.667 0.333 0.448
Pt2 0.667 0.333 0.750
Na10 0.000 0.000 0.162
Sb4 0.667 0.333 0.616

Computed properties:
Theoretical density = 4.04 g cm⁻³
VASP energy = -3.02 eV per atom
Uncorrected formation energy = -413 meV/atom
Space group = P6_3/mmc, No. 194

=====

# 20
Compound: Pr4Ag2HgPt
Source: Alexandria via LeMat-Bulk
Functional: PBE-GGA
Structure: relaxed

abc: 5.329 5.329 9.164
angles: 73.10 73.10 60.00
Positions (direct):
Ag1 0.742 0.742 0.774
Pr1 0.618 0.618 0.147
Pr2 0.382 0.382 0.853
Ag2 0.258 0.258 0.226
Hg1 0.000 0.000 0.000
Pt1 0.500 0.500 0.500
Pr3 0.131 0.131 0.607
Pr4 0.869 0.869 0.393

Computed properties:
Theoretical density = 9.19 g cm⁻³
VASP energy = -4.41 eV per atom
Space group = R-3m, No. 166
Formation energy from the elements = -0.51 eV per atom